Here is a geometry-optimized NdBeCu4 structure from Alexandria. Energies are from GGA-PBEsol. Values from VASP.

## Properties
N(E_F) ... 3.877 states/eV/f.u.
Formation enthalpy at 0 K ... -117 meV/atom

Cell and atoms, written as Quantum ESPRESSO input:
```
&SYSTEM
  ibrav = 0, nat = 6, ntyp = 3
/
ATOMIC_SPECIES
Nd 144.24 Nd.upf
Be 9.01 Be.upf
Cu 63.55 Cu.upf
ATOMIC_POSITIONS crystal
Nd 0.000 0.000 0.000
Be 0.000 0.667 0.333
Cu 0.000 0.333 0.667
Cu 0.500 0.990 0.495
Cu 0.500 0.505 0.010
Cu 0.500 0.505 0.495
CELL_PARAMETERS angstrom
-0.726 2.924 2.315
-4.004 1.285 -2.878
-0.594 -3.232 3.895
```

---

Here is a geometry-optimized Sc2HgSe2 structure from Alexandria. Energies are from GGA-PBEsol. Values from VASP.

## Properties
Energy relative to the elements, uncorrected ... -1.0470 eV per atom
N(E_F) ... 2.227 states/eV/f.u.

Cell and atoms, written as Quantum ESPRESSO input:
```
&SYSTEM
  ibrav = 0, nat = 5, ntyp = 3
/
ATOMIC_SPECIES
Sc 44.96 Sc.upf
Hg 200.59 Hg.upf
Se 78.96 Se.upf
ATOMIC_POSITIONS crystal
Sc 0.250 0.750 0.500
Sc 0.750 0.250 0.500
Hg 0.000 0.000 0.000
Se 0.355 0.355 0.710
Se 0.645 0.645 0.290
CELL_PARAMETERS angstrom
4.666 0.000 0.000
0.000 4.666 0.000
-2.333 -2.333 5.602
```

---

Here is a geometry-optimized Li2MgGeO4 structure from Alexandria. Energies are from GGA-PBEsol. Values from VASP.

## Properties
Energy relative to the elements, uncorrected ... -2.1898 eV per atom
N(E_F) ... 0.000 states/eV/f.u.

Cell and atoms, written as Quantum ESPRESSO input:
```
&SYSTEM
  ibrav = 0, nat = 32, ntyp = 4
/
ATOMIC_SPECIES
Li 6.94 Li.upf
Mg 24.30 Mg.upf
Ge 72.64 Ge.upf
O 16.00 O.upf
ATOMIC_POSITIONS crystal
Li 0.300 0.252 0.077
Li 0.200 0.252 0.577
Li 0.700 0.752 0.923
Li 0.800 0.752 0.423
Li 0.187 0.002 0.337
Li 0.813 0.502 0.663
Li 0.687 0.502 0.163
Li 0.313 0.002 0.837
Mg 0.313 0.497 0.832
Mg 0.687 0.997 0.168
Mg 0.813 0.997 0.668
Mg 0.187 0.497 0.332
Ge 0.816 0.250 0.915
Ge 0.684 0.250 0.415
Ge 0.184 0.750 0.085
Ge 0.316 0.750 0.585
O 0.164 0.252 0.912
O 0.336 0.252 0.412
O 0.836 0.752 0.088
O 0.664 0.752 0.588
O 0.704 0.475 0.837
O 0.796 0.024 0.338
O 0.296 0.975 0.163
O 0.204 0.524 0.662
O 0.296 0.524 0.162
O 0.204 0.975 0.663
O 0.704 0.024 0.838
O 0.796 0.475 0.337
O 0.705 0.248 0.067
O 0.795 0.248 0.567
O 0.295 0.748 0.933
O 0.205 0.748 0.433
CELL_PARAMETERS angstrom
-3.832 2.422 -2.310
-4.184 -2.949 3.847
0.841 8.195 7.195
```

---

Here is a geometry-optimized LiP2IrO structure from Alexandria. Energies are from GGA-PBEsol. Values from VASP.

## Properties
Energy relative to the elements, uncorrected ... 0.5236 eV per atom
N(E_F) ... 2.978 states/eV/f.u.

Cell and atoms, written as Quantum ESPRESSO input:
```
&SYSTEM
  ibrav = 0, nat = 5, ntyp = 4
/
ATOMIC_SPECIES
P 30.97 P.upf
Ir 192.22 Ir.upf
O 16.00 O.upf
Li 6.94 Li.upf
ATOMIC_POSITIONS crystal
P 0.000 0.000 0.500
P 0.000 0.500 0.000
Ir 0.500 0.500 0.500
O 0.500 0.000 0.000
Li 0.000 0.000 0.000
CELL_PARAMETERS angstrom
3.048 0.000 0.000
0.000 4.474 0.000
0.000 0.000 4.474
```

---

Here is a geometry-optimized KMgTc structure from Alexandria. Energies are from GGA-PBEsol. Values from VASP.

## Properties
N(E_F) ... 3.237 states/eV/f.u.
Formation enthalpy at 0 K ... 956 meV/atom

Cell and atoms, written as Quantum ESPRESSO input:
```
&SYSTEM
  ibrav = 0, nat = 3, ntyp = 3
/
ATOMIC_SPECIES
K 39.10 K.upf
Mg 24.30 Mg.upf
Tc 98.00 Tc.upf
ATOMIC_POSITIONS crystal
K 0.997 0.997 0.993
Mg 0.719 0.719 0.438
Tc 0.285 0.285 0.569
CELL_PARAMETERS angstrom
-0.640 -2.446 0.856
3.639 0.020 2.776
-4.852 3.622 2.562
```

---

Here is a geometry-optimized TlTc2Se structure from Alexandria. Energies are from GGA-PBEsol. Values from VASP.

## Properties
Energy relative to the elements, uncorrected ... 0.4330 eV per atom
N(E_F) ... 4.809 states/eV/f.u.
Relative energy among the computed polymorphs ... 165.7 meV/atom

Cell and atoms, written as Quantum ESPRESSO input:
```
&SYSTEM
  ibrav = 0, nat = 4, ntyp = 3
/
ATOMIC_SPECIES
Se 78.96 Se.upf
Tc 98.00 Tc.upf
Tl 204.38 Tl.upf
ATOMIC_POSITIONS crystal
Se 0.500 0.500 0.500
Tc 0.000 0.000 0.710
Tc 0.000 0.000 0.290
Tl 0.500 0.500 0.000
CELL_PARAMETERS angstrom
-2.970 -0.764 0.068
0.536 -2.262 -2.001
1.214 -4.266 5.147
```

---

Here is a geometry-optimized ScAsW2 structure from Alexandria. Energies are from GGA-PBEsol. Values from VASP.

## Properties
N(E_F) ... 3.812 states/eV/f.u.
Formation enthalpy at 0 K ... 85 meV/atom

Cell and atoms, written as Quantum ESPRESSO input:
```
&SYSTEM
  ibrav = 0, nat = 4, ntyp = 3
/
ATOMIC_SPECIES
As 74.92 As.upf
Sc 44.96 Sc.upf
W 183.84 W.upf
ATOMIC_POSITIONS crystal
As 0.500 0.500 0.500
Sc 0.000 0.000 0.500
W 0.000 0.500 0.000
W 0.500 0.000 0.000
CELL_PARAMETERS angstrom
3.790 0.000 0.000
0.000 3.790 0.000
0.000 0.000 4.544
```

---

Here is a geometry-optimized MnTlF4 structure from Alexandria. Energies are from GGA-PBEsol. Values from VASP.

## Properties
Energy relative to the elements, uncorrected ... -2.2232 eV per atom

Cell and atoms, written as Quantum ESPRESSO input:
```
&SYSTEM
  ibrav = 0, nat = 12, ntyp = 3
/
ATOMIC_SPECIES
Tl 204.38 Tl.upf
Mn 54.94 Mn.upf
F 19.00 F.upf
ATOMIC_POSITIONS crystal
Tl 0.782 0.750 0.000
Tl 0.218 0.250 0.000
Mn 0.000 0.500 0.500
Mn 0.500 0.000 0.500
F 0.747 0.409 0.215
F 0.532 0.091 0.785
F 0.253 0.591 0.785
F 0.468 0.909 0.215
F 0.232 0.675 0.421
F 0.811 0.825 0.579
F 0.768 0.325 0.579
F 0.189 0.175 0.421
CELL_PARAMETERS angstrom
5.235 0.000 0.000
0.000 5.594 0.074
-2.618 -2.049 6.104
```